# Na2UTeO7 SCAN PBEsol geometry
data_Na2UTeO7
_chemical_formula_sum 'Na8 U4 Te4 O28'
_cell_length_a 7.552
_cell_length_b 10.369
_cell_length_c 7.587
_cell_angle_alpha 90.00
_cell_angle_beta 90.00
_cell_angle_gamma 90.00
_symmetry_space_group_name_H-M 'A m a 2'
_symmetry_Int_Tables_number 40
_symmetry_space_group_name_Hall 'A 2 -2a'
loop_
_atom_site_label
_atom_site_fract_x
_atom_site_fract_y
_atom_site_fract_z
Na1 0.000 0.000 0.000
Na2 0.250 0.231 0.735
U1 0.250 0.238 0.247
Te1 0.000 0.000 0.477
O1 0.015 0.369 0.801
O2 0.050 0.378 0.160
O3 0.250 0.055 0.468
O4 0.250 0.147 0.032
O5 0.250 0.330 0.458
# Fermi-level density of states in states/eV per cell: 0.00
# ΔE_f (raw) in kJ/mol of atoms: -217.2
# Total moment in μB/f.u.: 0.000
# Total energy in eV/atom: -19.780
# Mass density in g/cm³: 5.9